A.
DFT (PBE) results for crystalline Tb5Y12Th2 at its relaxed geometry.

Output
The total magnetization is 0.0000 μB per atom. For the density of states at the Fermi level, the calculation gives 30.33 states/eV/cell.

Cell lengths 8.4194, 8.7769, 10.0923 Å; angles 95.30, 101.56, 118.58 degrees
Last column: nearest neighbours and their distance in Å.
Space group P-1 (No. 2)
One atom of each set of equivalent atoms:
Tb: 0.0000 0.0000 0.0000 [1 per cell]  6 Y 3.38-3.76, 2 Tb 3.50
Tb: 0.0706 0.3933 0.8986 [2 per cell]  7 Y 3.35-3.71, 2 Tb 3.39-3.50
Tb: 0.1460 0.7403 0.5030 [2 per cell]  8 Y 3.48-3.81, 2 Th 3.65-3.66, 1 Tb 3.72
Y: 0.0363 0.0305 0.6745 [2 per cell]  4 Tb 3.38-3.59, 5 Y 3.40-3.65, 2 Th 3.43-3.47
Y: 0.1912 0.4215 0.2783 [2 per cell]  1 Th 3.28, 3 Y 3.35-3.62, 2 Tb 3.62-3.65
Y: 0.2693 0.8418 0.8848 [2 per cell]  8 Y 3.35-3.63, 3 Tb 3.49-3.69
Y: 0.3633 0.9544 0.2499 [2 per cell]  2 Tb 3.35-3.59, 2 Th 3.37-3.50, 5 Y 3.38-3.65
Y: 0.3845 0.5666 0.7060 [2 per cell]  2 Th 3.43-3.48, 2 Tb 3.44-3.52, 5 Y 3.47-3.69
Y: 0.4642 0.3003 0.9117 [2 per cell]  8 Y 3.41-3.79, 2 Tb 3.49-3.75, 1 Th 3.68
Th: 0.4164 0.2226 0.5372 [2 per cell]  7 Y 3.28-3.50, 2 Tb 3.65-3.66

---

B.
DFT (PBE) results for crystalline Tb5Y12Th2 at its relaxed geometry.

Output
The total magnetization is 0.0000 μB per atom. For the density of states at the Fermi level, the calculation gives 59.15 states/eV/cell.

Cell lengths 15.5438, 9.4611, 8.6307 Å; angles 90.00, 92.14, 90.00 degrees
Last column: nearest neighbours and their distance in Å.
Space group C2/m (No. 12)
One atom of each set of equivalent atoms:
Tb: 0.0000 0.0000 0.0000 [2 per cell]  10 Y 3.42-3.78, 2 Tb 3.62
Tb: 0.1995 0.5000 0.5207 [4 per cell]  8 Y 3.50-3.71, 2 Th 3.50, 1 Tb 3.64
Tb: 0.2308 0.0000 0.0723 [4 per cell]  8 Y 3.36-3.60, 2 Tb 3.62-3.64
Y: 0.0582 0.5000 0.8277 [4 per cell]  2 Tb 3.36-3.50, 2 Th 3.36, 7 Y 3.42-3.55
Y: 0.0781 0.0000 0.3764 [4 per cell]  3 Y 3.29-3.55, 3 Tb 3.42-3.60, 2 Th 3.50
Y: 0.1285 0.3084 0.1634 [8 per cell]  5 Y 3.42-3.62, 4 Tb 3.43-3.78, 1 Th 3.59
Y: 0.1499 0.1784 0.7396 [8 per cell]  1 Th 3.36, 4 Y 3.38-3.70, 4 Tb 3.52-3.71
Th: 0.0000 0.3271 0.5000 [4 per cell]  1 Th 3.27, 8 Y 3.36-3.59, 2 Tb 3.50

---

Most stable = A

---

A.
DFT (PBE) results for crystalline Tb4Y5Th2 at its relaxed geometry.

Output
The total magnetization is 0.0000 μB per atom. For the density of states at the Fermi level, the calculation gives 17.46 states/eV/cell.

Cell lengths 3.5509, 8.9067, 11.2554 Å; angles 90.73, 90.39, 90.08 degrees
Last column: nearest neighbours and their distance in Å.
Space group P-1 (No. 2)
One atom of each set of equivalent atoms:
Tb: 0.2145 0.0866 0.2617 [2 per cell]  5 Y 3.21-3.56, 1 Th 3.47, 2 Tb 3.55
Tb: 0.2415 0.2693 0.7964 [2 per cell]  6 Y 3.46-3.85, 2 Th 3.51-3.55, 4 Tb 3.55-3.77
Y: 0.2357 0.6398 0.9106 [2 per cell]  5 Y 3.48-3.72, 5 Tb 3.51-3.85, 2 Th 3.61-3.69
Y: 0.2583 0.8181 0.4783 [2 per cell]  5 Tb 3.44-3.65, 3 Th 3.46-3.54, 4 Y 3.55-3.75
Y: 0.5000 0.0000 0.0000 [1 per cell]  4 Tb 3.21-3.46, 4 Y 3.48-3.55
Th: 0.2499 0.4564 0.3633 [2 per cell]  5 Y 3.46-3.69, 3 Tb 3.47-3.55, 4 Th 3.55-3.64

---

B.
DFT (PBE) results for crystalline Tb4Y5Th2 at its relaxed geometry.

Output
The total magnetization is 0.0001 μB per atom. For the density of states at the Fermi level, the calculation gives 37.40 states/eV/cell.

Cell lengths 3.4284, 9.2406, 24.5999 Å; angles 90.00, 90.00, 90.00 degrees
Last column: nearest neighbours and their distance in Å.
Space group Immm (No. 71)
One atom of each set of equivalent atoms:
Tb: 0.0000 0.0000 0.2390 [4 per cell]  1 Th 3.23, 2 Tb 3.43, 6 Y 3.49-3.59
Tb: 0.0000 0.3166 0.0000 [4 per cell]  3 Tb 3.39-3.43, 2 Y 3.39
Y: 0.0000 0.3216 0.1572 [8 per cell]  1 Th 3.21, 3 Y 3.30-3.43, 3 Tb 3.49-3.59
Y: 0.0000 0.5000 0.5000 [2 per cell]  4 Th 3.16, 4 Tb 3.39, 2 Y 3.43
Th: 0.0000 0.0000 0.1078 [4 per cell]  4 Y 3.16-3.21, 1 Tb 3.23, 2 Th 3.43

---

Most stable = A

---

A.
DFT (PBE) results for crystalline TbY2Th2 at its relaxed geometry.

Output
The total magnetization is 0.0000 μB per atom. For the density of states at the Fermi level, the calculation gives 38.48 states/eV/cell.

Cell lengths 8.7243, 9.3461, 8.7700 Å; angles 90.00, 108.73, 90.00 degrees
Last column: nearest neighbours and their distance in Å.
Space group C2/c (No. 15)
One atom of each set of equivalent atoms:
Tb: 0.0000 0.2016 0.2500 [4 per cell]  6 Y 3.32-3.44, 4 Th 3.55-3.58
Y: 0.1579 0.0991 0.6313 [8 per cell]  3 Tb 3.32-3.44, 4 Th 3.38-3.65, 1 Y 3.50
Th: 0.0000 0.5000 0.0000 [4 per cell]  2 Th 3.20, 2 Tb 3.55
Th: 0.2500 0.2500 0.0000 [4 per cell]  2 Th 3.20, 2 Y 3.38

---

B.
DFT (PBE) results for crystalline TbY2Th2 at its relaxed geometry.

Output
The total magnetization is 0.0000 μB per atom. For the density of states at the Fermi level, the calculation gives 14.61 states/eV/cell.

Cell lengths 3.5158, 5.8136, 15.9865 Å; angles 90.00, 90.00, 90.00 degrees
Last column: nearest neighbours and their distance in Å.
Space group Immm (No. 71)
One atom of each set of equivalent atoms:
Tb: 0.0000 0.0000 0.0000 [2 per cell]  2 Tb 3.52, 8 Y 3.76, 4 Th 3.83
Y: 0.0000 0.0000 0.3986 [4 per cell]  3 Y 3.24-3.52, 4 Th 3.41-3.45
Th: 0.0000 0.5000 0.2872 [4 per cell]  4 Y 3.41-3.45, 6 Th 3.52-3.60

---

Most stable = B

---

A.
DFT (PBE) results for crystalline Tb5Y2Th at its relaxed geometry.

Output
The total magnetization is 0.0000 μB per atom. For the density of states at the Fermi level, the calculation gives 26.21 states/eV/cell.

Cell lengths 6.6547, 8.8803, 9.5463 Å; angles 87.79, 84.03, 68.08 degrees
Last column: nearest neighbours and their distance in Å.
Space group P-1 (No. 2)
One atom of each set of equivalent atoms:
Tb: 0.0468 0.2416 0.1056 [2 per cell]  3 Tb 3.20-3.36, 4 Y 3.45-3.52, 1 Th 3.47
Tb: 0.2005 0.5075 0.4114 [2 per cell]  4 Tb 3.05-3.33, 1 Th 3.38, 1 Y 3.40
Tb: 0.2874 0.7583 0.6053 [2 per cell]  3 Tb 3.20-3.36, 4 Y 3.45-3.52, 1 Th 3.47
Tb: 0.2915 0.5086 0.0879 [2 per cell]  4 Tb 3.05-3.33, 1 Th 3.38, 1 Y 3.40
Tb: 0.3398 0.3225 0.7499 [2 per cell]  9 Tb 3.61-4.04, 2 Th 3.70, 4 Y 3.90-4.02
Y: 0.2740 0.1078 0.4177 [2 per cell]  5 Tb 3.40-3.52, 2 Y 3.41-3.74, 2 Th 3.44-3.66
Y: 0.3819 0.8911 0.9180 [2 per cell]  5 Tb 3.40-3.52, 2 Y 3.42-3.74, 2 Th 3.43-3.66
Th: 0.0625 0.8732 0.2498 [2 per cell]  6 Tb 3.38-3.70, 4 Y 3.43-3.66

---

B.
DFT (PBE) results for crystalline Tb5Y2Th at its relaxed geometry.

Output
The total magnetization is 0.0000 μB per atom. For the density of states at the Fermi level, the calculation gives 23.58 states/eV/cell.

Cell lengths 7.1336, 14.2870, 5.0462 Å; angles 90.00, 90.00, 90.00 degrees
Last column: nearest neighbours and their distance in Å.
Space group Pbam (No. 55)
One atom of each set of equivalent atoms:
Tb: 0.0000 0.0000 0.0000 [2 per cell]  2 Th 3.57, 6 Tb 3.57-3.59, 4 Y 3.58
Tb: 0.0027 0.2512 0.0000 [4 per cell]  7 Tb 3.55-3.61, 1 Th 3.55, 4 Y 3.56-3.60
Tb: 0.2466 0.3767 0.5000 [4 per cell]  4 Y 3.50-3.64, 2 Th 3.54, 6 Tb 3.55-3.61
Y: 0.2438 0.6233 0.5000 [4 per cell]  10 Tb 3.50-3.64, 2 Th 3.53
Th: 0.0000 0.5000 0.0000 [2 per cell]  4 Y 3.53, 8 Tb 3.54-3.57

---

Most stable = B